1.
The following is a PBE calculation of crystalline DyNiAu at its relaxed geometry, from OQMD.

Values from the calculation:
electronic total energy = -4.5329 eV per atom

Cell lengths 6.5241, 6.5241, 6.5241 Å; angles 90.00, 90.00, 90.00 degrees
Space group F-43m (No. 216)
One atom of each set of equivalent atoms:
Dy (0.0000, 0.0000, 0.0000)
Ni (0.2500, 0.2500, 0.2500)
Au (0.2500, 0.2500, 0.7500)



2.
The following is a PBE calculation of crystalline InCoCuTe2Se at its relaxed geometry, from OQMD.

Values from the calculation:
electronic total energy = -3.9326 eV per atom

Cell lengths 3.8227, 14.3133, 9.6642 Å; angles 90.00, 90.00, 90.00 degrees
Space group Cmcm (No. 63)
One atom of each set of equivalent atoms:
In (0.0000, 0.2487, 0.2500)
Co (0.0000, 0.0000, 0.0000)
Cu (0.0000, 0.4789, 0.7500)
Te (0.0000, 0.3750, 0.5384)
Se (0.0000, 0.0754, 0.7500)



3.
The following is a PBE calculation of crystalline TbSnAsO at its relaxed geometry, from OQMD.

Values from the calculation:
ΔE to the lowest computed polymorph = 415 meV per atom

Cell lengths 5.6063, 5.6063, 5.2833 Å; angles 90.00, 90.00, 90.00 degrees
Space group P4/nmm (No. 129, origin choice 2)
One atom of each set of equivalent atoms:
Tb (0.2500, 0.7500, 0.0000)
Sn (0.2500, 0.2500, 0.4924)
As (0.2500, 0.2500, 0.9902)
O (0.2500, 0.7500, 0.5000)



4.
The following is a PBE calculation of crystalline Tb3Sn3IrPd2 at its relaxed geometry, from OQMD.

Values from the calculation:
electronic total energy = -5.9324 eV per atom

Cell lengths 7.5325, 7.5325, 4.0134 Å; angles 90.00, 90.00, 120.00 degrees
Space group P-62m (No. 189)
One atom of each set of equivalent atoms:
Tb (0.0000, 0.5966, 0.0000)
Sn (0.0000, 0.2559, 0.5000)
Ir (0.0000, 0.0000, 0.0000)
Pd (0.3333, 0.6667, 0.5000)